Ba3Zn4Cd2 (GGA-PBE, relaxed); energy = -14.7 eV for the cell shown; volume = 30.93 A^3/atom; crystal system = monoclinic
1.0
6.1950 -2.4090 0.0000
6.1950 2.4090 0.0000
-2.4245 0.0000 9.3249
Ba Zn Cd
3 4 2
direct
0.0000 0.0000 0.0000
0.3342 0.3342 0.3294
0.6658 0.6658 0.6706
0.0544 0.0544 0.3967
0.2748 0.2748 0.9505
0.7252 0.7252 0.0495
0.9456 0.9456 0.6033
0.3866 0.3866 0.7209
0.6134 0.6134 0.2791

=====

Mn5Ga2Pd12 (GGA-PBE, relaxed); energy = -119.3 eV for the cell shown; volume = 15.61 A^3/atom; crystal system = monoclinic
1.0
6.1656 -4.0416 0.0000
6.1656 4.0416 0.0000
-0.2098 0.0000 5.9520
Mn Ga Pd
5 2 12
direct
0.0000 0.0000 0.0000
0.2437 0.2437 0.0364
0.3304 0.3304 0.5800
0.6696 0.6696 0.4200
0.7563 0.7563 0.9636
0.2462 0.7538 0.5000
0.7538 0.2462 0.5000
0.0434 0.5730 0.3003
0.1191 0.1191 0.3942
0.1712 0.6234 0.8914
0.3766 0.8288 0.1086
0.4270 0.9566 0.6997
0.4527 0.4527 0.2356
0.5473 0.5473 0.7644
0.5730 0.0434 0.3003
0.6234 0.1712 0.8914
0.8288 0.3766 0.1086
0.8809 0.8809 0.6058
0.9566 0.4270 0.6997

=====

KTl2In2 (GGA-PBE, relaxed); excess energy over the best structure of this formula in the dataset = 43 meV/atom; volume = 31.75 A^3/atom; crystal system = tetragonal
1.0
9.3396 0.0000 0.0000
0.0000 9.3396 0.0000
0.0000 0.0000 3.6401
K Tl In
2 4 4
direct
0.0000 0.0000 0.0000
0.5000 0.5000 0.0000
0.1420 0.3580 0.0000
0.3580 0.8580 0.0000
0.6420 0.1420 0.0000
0.8580 0.6420 0.0000
0.1505 0.6505 0.5000
0.3495 0.1505 0.5000
0.6505 0.8495 0.5000
0.8495 0.3495 0.5000

=====

Th2Co3B12Ru (GGA-PBE, relaxed); energy = -125.2 eV for the cell shown; volume = 11.06 A^3/atom; crystal system = trigonal
1.0
2.7636 1.5956 7.5245
-2.7636 1.5956 7.5245
0.0000 -3.1912 7.5245
Th Co B Ru
2 3 12 1
direct
0.1383 0.1383 0.1383
0.8617 0.8617 0.8617
0.0000 0.5000 0.5000
0.5000 0.0000 0.5000
0.5000 0.5000 0.0000
0.1596 0.1596 0.4732
0.1596 0.4732 0.1596
0.1630 0.5550 0.5550
0.4450 0.4450 0.8370
0.4450 0.8370 0.4450
0.4732 0.1596 0.1596
0.5268 0.8404 0.8404
0.5550 0.1630 0.5550
0.5550 0.5550 0.1630
0.8370 0.4450 0.4450
0.8404 0.5268 0.8404
0.8404 0.8404 0.5268
0.5000 0.5000 0.5000

=====

CeErSbP (GGA-PBE, relaxed); volume = 26.59 A^3/atom; ΔE_f (raw) = -1280 meV/atom; crystal system = trigonal
1.0
2.0967 1.2105 6.9851
-2.0967 1.2105 6.9851
0.0000 -2.4211 6.9851
Ce Er Sb P
1 1 1 1
direct
0.0000 0.0000 0.0000
0.4827 0.4827 0.4827
0.2391 0.2391 0.2391
0.7438 0.7438 0.7438

=====

Ba2PmIr3O12 (GGA-PBE, relaxed); volume = 14.37 A^3/atom; ΔE_f (raw) = -1529 meV/atom; crystal system = trigonal
1.0
3.6753 2.1219 5.5273
-3.6753 2.1219 5.5273
0.0000 -4.2438 5.5273
Ba Pm Ir O
2 1 3 12
direct
0.1120 0.1120 0.1120
0.8880 0.8880 0.8880
0.5000 0.5000 0.5000
0.0000 0.5000 0.5000
0.5000 0.0000 0.5000
0.5000 0.5000 0.0000
0.0935 0.6251 0.6251
0.2045 0.2045 0.6210
0.2045 0.6210 0.2045
0.3749 0.3749 0.9065
0.3749 0.9065 0.3749
0.3790 0.7955 0.7955
0.6210 0.2045 0.2045
0.6251 0.0935 0.6251
0.6251 0.6251 0.0935
0.7955 0.3790 0.7955
0.7955 0.7955 0.3790
0.9065 0.3749 0.3749

=====

Ho2Zn3Cu2 (GGA-PBE, relaxed); energy = -23.4 eV for the cell shown; volume = 17.97 A^3/atom; crystal system = monoclinic
1.0
4.8173 -2.1212 0.0000
4.8173 2.1212 0.0000
-2.6020 0.0000 6.1563
Ho Zn Cu
2 3 2
direct
0.1460 0.1460 0.2730
0.8540 0.8540 0.7270
0.3814 0.3814 0.0682
0.5000 0.5000 0.5000
0.6186 0.6186 0.9318
0.1425 0.1425 0.7120
0.8575 0.8575 0.2880

=====

Li2BeRe (GGA-PBE, relaxed); energy = -19.0 eV for the cell shown; volume = 12.61 A^3/atom; crystal system = monoclinic
1.0
2.4608 0.0000 0.0000
0.0000 4.6174 0.0000
-0.3323 0.0000 4.4390
Li Be Re
2 1 1
direct
0.1968 0.0000 0.2427
0.8032 0.0000 0.7573
0.0000 0.5000 0.5000
0.5000 0.5000 0.0000

=====

Tl2Pd3S2 (GGA-PBE, relaxed); volume = 23.30 A^3/atom; ΔE_f (raw) = -234 meV/atom; crystal system = monoclinic
1.0
6.1570 -2.0319 0.0000
6.1570 2.0319 0.0000
-0.3490 0.0000 6.5199
Tl Pd S
2 3 2
direct
0.1077 0.1077 0.2759
0.8923 0.8923 0.7241
0.1993 0.1993 0.8873
0.5000 0.5000 0.5000
0.8007 0.8007 0.1127
0.3599 0.3599 0.2460
0.6401 0.6401 0.7540

=====

Cr2Pt8W (GGA-PBE, relaxed); energy = -82.9 eV for the cell shown; volume = 15.87 A^3/atom; crystal system = orthorhombic
1.0
-1.9521 3.8111 5.8665
1.9521 -3.8111 5.8665
1.9521 3.8111 -5.8665
Cr Pt W
2 8 1
direct
0.1653 0.1653 0.0000
0.8347 0.8347 0.0000
0.0763 0.3368 0.7395
0.2305 0.0000 0.2305
0.3388 0.8388 0.5000
0.4027 0.6632 0.7395
0.5973 0.3368 0.2605
0.6612 0.1612 0.5000
0.7695 0.0000 0.7695
0.9237 0.6632 0.2605
0.5000 0.5000 0.0000

=====

Ti2Al4Si (GGA-PBE, relaxed); volume = 21.24 A^3/atom; ΔE_f (raw) = 556 meV/atom; crystal system = tetragonal
1.0
-2.3988 2.3988 6.4581
2.3988 -2.3988 6.4581
2.3988 2.3988 -6.4581
Ti Al Si
2 4 1
direct
0.1031 0.1031 0.0000
0.8969 0.8969 0.0000
0.0000 0.5000 0.5000
0.3137 0.3137 0.0000
0.5000 0.0000 0.5000
0.6863 0.6863 0.0000
0.5000 0.5000 0.0000

=====

Er2MoN4 (GGA-PBE, relaxed); excess energy over the best structure of this formula in the dataset = 98 meV/atom; volume = 14.99 A^3/atom; ΔE_f (raw) = -1062 meV/atom; crystal system = monoclinic
1.0
5.7424 0.0000 0.0000
0.0000 5.9170 0.0000
-1.9457 0.0000 6.1757
Er Mo N
4 2 8
direct
0.1651 0.2500 0.0268
0.2377 0.2500 0.5557
0.7623 0.7500 0.4443
0.8349 0.7500 0.9732
0.2866 0.7500 0.8136
0.7134 0.2500 0.1864
0.0493 0.5105 0.7519
0.0493 0.9895 0.7519
0.4768 0.7500 0.0951
0.4987 0.2500 0.3479
0.5013 0.7500 0.6521
0.5232 0.2500 0.9049
0.9507 0.0105 0.2481
0.9507 0.4895 0.2481